1.
# KTbPbCl6

Crystalline KTbPbCl6 at its relaxed geometry (GGA-PBE, Alexandria via LeMat-Bulk).

a = 7.3330 Å, b = 7.3330 Å, c = 13.3732 Å
α = 90.00°, β = 90.00°, γ = 120.00°
Space group P-31c (No. 163)
Symmetry-distinct sites (fractional):
K 0.0000 0.0000 0.0000
Tb 0.3333 0.6667 0.2500
Pb 0.3333 0.6667 0.7500
Cl 0.0255 0.3770 0.1359

Calculated values
DOS(E_F): 0.0 states/eV per cell
Calculated volume: 34.60 Å³/atom
Uncorrected formation energy: -1.87 eV per atom


2.
# Ce4TlPb4

Crystalline Ce4TlPb4 at its relaxed geometry (GGA-PBE, Alexandria via LeMat-Bulk).

a = 9.039 Å, b = 9.039 Å, c = 6.801 Å
α = 90.00°, β = 90.00°, γ = 90.00°
Space group P4_2/n (No. 86, origin choice 2)
Symmetry-distinct sites (fractional):
Ce 0.018 0.141 0.086
Tl 0.250 0.250 0.750
Pb 0.048 0.839 0.425

Calculated values
ΔE_f: -0.1605 eV/atom
DOS(E_F): 39.3 states/eV per cell
Calculated volume: 30.87 Å³/atom


3.
# Zr2AlOs

Crystalline Zr2AlOs at its relaxed geometry (GGA-PBE, Alexandria via LeMat-Bulk).

a = 6.588 Å, b = 6.588 Å, c = 6.588 Å
α = 90.00°, β = 90.00°, γ = 90.00°
Space group F-43m (No. 216)
Symmetry-distinct sites (fractional):
Zr 0.000 0.000 0.000
Zr 0.250 0.250 0.250
Al 0.000 0.000 0.500
Os 0.250 0.250 0.750

Calculated values
ΔE_f: -0.2429 eV/atom
DOS(E_F): 16.2 states/eV per cell
Calculated volume: 17.87 Å³/atom


The following total magnetization values (in μB per formula unit) correspond, in order, to the records above: 0.00, 4.69, 0.64.